## Y3BiC (PBE)

Data for a relaxed Y3BiC crystal.

Cell: 15.603 3.717 11.406 Å, 90.00 129.64 90.00°
Space group C2/m (No. 12)
Unique sites:
1 Y 0.127 0.000 0.183 [4 per cell]
2 Y 0.140 0.500 0.461 [4 per cell]
3 Y 0.157 0.000 0.742 [4 per cell]
4 Bi 0.085 0.500 0.908 [4 per cell]
5 C 0.247 0.500 0.359 [4 per cell]

Calculated values
**Size of the total moment**: 1.00 μB per formula unit
**Distance to the lowest polymorph of the same formula**: 82 meV/atom
**N(E_F)**: 2.6 states/eV/f.u.
**ΔH_f (0 K)**: -2.5 eV/f.u.
**Total DFT energy (no corrections)**: -6.99 eV/atom